Record 1
A plane-wave DFT calculation with PBE-GGA was carried out for crystalline LaSmINCl2 at its relaxed geometry.

- electronic total energy (eV/cell) = -70.0
- space-group type = C2/m, No. 12

Cell: 8.405 8.405 11.303 Å, 116.65 116.65 28.35°
Fractional positions:
Cl  0.218  0.218  0.101
Cl  0.061  0.061  0.772
N  0.429  0.429  0.853
La  0.870  0.870  0.723
Sm  0.589  0.589  0.956
Sm  0.411  0.411  0.044
La  0.130  0.130  0.277
N  0.571  0.571  0.147
Cl  0.939  0.939  0.228
Cl  0.782  0.782  0.899
I  0.356  0.356  0.480
I  0.644  0.644  0.520

=====

Record 2
A plane-wave DFT calculation with PBE-GGA was carried out for crystalline Lu2IClO2 at its relaxed geometry.

- electronic total energy (eV/cell) = -79.9
- space-group type = C2/m, No. 12

Cell: 9.681 9.681 7.374 Å, 93.64 93.64 23.50°
Fractional positions:
I  0.908  0.908  0.650
Lu  0.693  0.693  0.114
O  0.755  0.755  0.372
Lu  0.304  0.304  0.382
Lu  0.696  0.696  0.618
I  0.092  0.092  0.350
Lu  0.307  0.307  0.886
Cl  0.406  0.406  0.155
O  0.242  0.242  0.119
O  0.758  0.758  0.881
O  0.245  0.245  0.628
Cl  0.594  0.594  0.845

=====

Record 3
A plane-wave DFT calculation with PBE-GGA was carried out for crystalline MoI2Cl2 at its relaxed geometry.

- electronic total energy (eV/cell) = -40.3
- space-group type = C2/m, No. 12

Cell: 7.408 7.408 8.440 Å, 124.19 124.19 59.67°
Each line ends with the local moment (μB).
Fractional positions:
Cl  0.232  0.781  0.282  0.04
I  0.771  0.771  0.782  -0.01
Mo  0.203  0.797  0.000  0.81
I  0.229  0.229  0.218  -0.01
Cl  0.781  0.232  0.282  0.04
Cl  0.768  0.219  0.718  0.04
I  0.689  0.689  0.181  -0.02
I  0.311  0.311  0.819  -0.02
Mo  0.797  0.203  0.000  0.81
Cl  0.219  0.768  0.718  0.04

=====

Record 4
A plane-wave DFT calculation with PBE-GGA was carried out for crystalline MoI3Cl2 at its relaxed geometry.

- electronic total energy (eV/cell) = -42.8
- space-group type = P-1, No. 2

Cell: 6.901 7.349 9.917 Å, 94.15 108.93 117.35°
Each line ends with the local moment (μB).
Fractional positions:
Cl  0.395  0.759  0.819  0.03
Cl  0.605  0.241  0.181  0.03
I  0.415  0.239  0.748  -0.08
I  0.585  0.761  0.252  -0.08
I  0.218  0.239  0.351  -0.09
I  0.006  0.253  0.941  -0.06
Cl  0.252  0.792  0.461  0.00
Cl  0.748  0.208  0.539  0.00
Mo  0.396  0.001  0.289  1.12
I  0.994  0.747  0.059  -0.06
I  0.782  0.761  0.649  -0.09
Mo  0.604  0.999  0.711  1.12

=====

| no. | ρ (g/cm3) |
| --- | --- |
| 1 | 5.0 |
| 2 | 6.6 |
| 3 | 4.6 |
| 4 | 4.5 |